one.
# Zn2AsBr (SCAN, PBEsol geometry)
# **Total moment**: 0.0 μB/f.u.
# **D(E_F)**: 0.8 states/eV/f.u.
data_Zn2AsBr
_cell_length_a 3.6133
_cell_length_b 3.6133
_cell_length_c 6.4430
_cell_angle_alpha 90.00
_cell_angle_beta 90.00
_cell_angle_gamma 90.00
_symmetry_space_group_name_H-M 'P 1'
_symmetry_Int_Tables_number 1
_symmetry_space_group_name_Hall 'P 1'
loop_
_atom_site_label
_atom_site_fract_x
_atom_site_fract_y
_atom_site_fract_z
_atom_site_occupancy
As1 0.0000 0.0000 0.3445 1
Br1 0.5000 0.5000 0.8151 1
Zn1 0.0000 0.0000 0.9742 1
Zn2 0.5000 0.5000 0.3662 1

---

two.
# Zn2AsBr (SCAN, PBEsol geometry)
# **Total moment**: 0.0 μB/f.u.
# **D(E_F)**: 0.0 states/eV/f.u.
data_Zn2AsBr
_cell_length_a 5.7406
_cell_length_b 5.7406
_cell_length_c 7.1724
_cell_angle_alpha 113.59
_cell_angle_beta 113.59
_cell_angle_gamma 90.00
_symmetry_space_group_name_H-M 'P 1'
_symmetry_Int_Tables_number 1
_symmetry_space_group_name_Hall 'P 1'
loop_
_atom_site_label
_atom_site_fract_x
_atom_site_fract_y
_atom_site_fract_z
_atom_site_occupancy
As1 0.7500 0.2500 0.5000 1
As2 0.5000 0.5000 0.0000 1
Zn1 0.4250 0.8750 0.2500 1
Zn2 0.8250 0.3750 0.2500 1
Zn3 0.1250 0.1750 0.7500 1
Zn4 0.6250 0.5750 0.7500 1
Br1 0.2500 0.7500 0.5000 1
Br2 0.0000 0.0000 0.0000 1

---

Stability verdict: two, ahead by 260 meV/atom

---

one.
# ZnAsBr2 (SCAN, PBEsol geometry)
# **Total moment**: 0.0 μB/f.u.
# **D(E_F)**: 1.6 states/eV/f.u.
data_ZnAsBr2
_cell_length_a 4.9920
_cell_length_b 4.9920
_cell_length_c 4.9920
_cell_angle_alpha 100.12
_cell_angle_beta 114.34
_cell_angle_gamma 114.34
_symmetry_space_group_name_H-M 'P 1'
_symmetry_Int_Tables_number 1
_symmetry_space_group_name_Hall 'P 1'
loop_
_atom_site_label
_atom_site_fract_x
_atom_site_fract_y
_atom_site_fract_z
_atom_site_occupancy
As1 0.0000 0.0000 0.0000 1
Br1 0.5000 0.5000 0.0000 1
Br2 0.5000 0.0000 0.5000 1
Zn1 0.0000 0.5000 0.5000 1

---

two.
# ZnAsBr2 (SCAN, PBEsol geometry)
# **Total moment**: 0.0 μB/f.u.
# **D(E_F)**: 2.8 states/eV/f.u.
data_ZnAsBr2
_cell_length_a 4.9152
_cell_length_b 4.9152
_cell_length_c 4.9152
_cell_angle_alpha 60.00
_cell_angle_beta 60.00
_cell_angle_gamma 60.00
_symmetry_space_group_name_H-M 'P 1'
_symmetry_Int_Tables_number 1
_symmetry_space_group_name_Hall 'P 1'
loop_
_atom_site_label
_atom_site_fract_x
_atom_site_fract_y
_atom_site_fract_z
_atom_site_occupancy
As1 0.5000 0.5000 0.5000 1
Br1 0.0000 0.0000 0.0000 1
Br2 0.2500 0.2500 0.2500 1
Zn1 0.7500 0.7500 0.7500 1

---

Stability verdict: one, ahead by 478 meV/atom

---

one.
# As2C (SCAN, PBEsol geometry)
# **Total moment**: 0.0 μB/f.u.
# **D(E_F)**: 1.0 states/eV/f.u.
data_As2C
_cell_length_a 2.8809
_cell_length_b 3.0105
_cell_length_c 10.3732
_cell_angle_alpha 90.00
_cell_angle_beta 97.98
_cell_angle_gamma 90.00
_symmetry_space_group_name_H-M 'P 1'
_symmetry_Int_Tables_number 1
_symmetry_space_group_name_Hall 'P 1'
loop_
_atom_site_label
_atom_site_fract_x
_atom_site_fract_y
_atom_site_fract_z
_atom_site_occupancy
As1 0.4353 0.2500 0.8706 1
As2 0.5647 0.7500 0.1294 1
As3 0.6857 0.2500 0.3714 1
As4 0.3143 0.7500 0.6286 1
C1 0.1104 0.2500 0.2208 1
C2 0.8896 0.7500 0.7792 1

---

two.
# As2C (SCAN, PBEsol geometry)
# **Total moment**: 0.0 μB/f.u.
# **D(E_F)**: 0.8 states/eV/f.u.
data_As2C
_cell_length_a 2.9552
_cell_length_b 2.9552
_cell_length_c 19.5662
_cell_angle_alpha 90.00
_cell_angle_beta 90.00
_cell_angle_gamma 120.00
_symmetry_space_group_name_H-M 'P 1'
_symmetry_Int_Tables_number 1
_symmetry_space_group_name_Hall 'P 1'
loop_
_atom_site_label
_atom_site_fract_x
_atom_site_fract_y
_atom_site_fract_z
_atom_site_occupancy
As1 0.3333 0.6667 0.9307 1
As2 0.6667 0.3333 0.4307 1
As3 0.3333 0.6667 0.5693 1
As4 0.6667 0.3333 0.0693 1
C1 0.0000 0.0000 0.0000 1
C2 0.0000 0.0000 0.5000 1

---

Stability verdict: two, ahead by 103 meV/atom

---

one.
# AsC (SCAN, PBEsol geometry)
# **Total moment**: 0.0 μB/f.u.
# **D(E_F)**: 0.2 states/eV/f.u.
data_AsC
_cell_length_a 2.6204
_cell_length_b 3.1217
_cell_length_c 6.7845
_cell_angle_alpha 103.30
_cell_angle_beta 90.00
_cell_angle_gamma 90.00
_symmetry_space_group_name_H-M 'P 1'
_symmetry_Int_Tables_number 1
_symmetry_space_group_name_Hall 'P 1'
loop_
_atom_site_label
_atom_site_fract_x
_atom_site_fract_y
_atom_site_fract_z
_atom_site_occupancy
As1 0.7500 0.1318 0.2636 1
As2 0.2500 0.8682 0.7364 1
C1 0.7500 0.5302 0.0603 1
C2 0.2500 0.4698 0.9397 1

---

two.
# AsC (SCAN, PBEsol geometry)
# **Total moment**: 0.0 μB/f.u.
# **D(E_F)**: 0.6 states/eV/f.u.
data_AsC
_cell_length_a 3.0561
_cell_length_b 3.0562
_cell_length_c 5.6420
_cell_angle_alpha 106.01
_cell_angle_beta 105.71
_cell_angle_gamma 90.00
_symmetry_space_group_name_H-M 'P 1'
_symmetry_Int_Tables_number 1
_symmetry_space_group_name_Hall 'P 1'
loop_
_atom_site_label
_atom_site_fract_x
_atom_site_fract_y
_atom_site_fract_z
_atom_site_occupancy
As1 0.1417 0.1389 0.2834 1
As2 0.8583 0.8611 0.7166 1
C1 0.6628 0.6619 0.3257 1
C2 0.3372 0.3381 0.6743 1

---

three.
# AsC (SCAN, PBEsol geometry)
# **Total moment**: 0.0 μB/f.u.
# **D(E_F)**: 0.7 states/eV/f.u.
data_AsC
_cell_length_a 2.8908
_cell_length_b 2.8908
_cell_length_c 3.0888
_cell_angle_alpha 90.00
_cell_angle_beta 90.00
_cell_angle_gamma 90.00
_symmetry_space_group_name_H-M 'P 1'
_symmetry_Int_Tables_number 1
_symmetry_space_group_name_Hall 'P 1'
loop_
_atom_site_label
_atom_site_fract_x
_atom_site_fract_y
_atom_site_fract_z
_atom_site_occupancy
As1 0.0000 0.0000 0.0000 1
C1 0.5000 0.5000 0.0000 1

---

four.
# AsC (SCAN, PBEsol geometry)
# **Total moment**: 0.0 μB/f.u.
# **D(E_F)**: 0.5 states/eV/f.u.
data_AsC
_cell_length_a 3.1566
_cell_length_b 4.4164
_cell_length_c 3.2999
_cell_angle_alpha 90.00
_cell_angle_beta 90.00
_cell_angle_gamma 90.00
_symmetry_space_group_name_H-M 'P 1'
_symmetry_Int_Tables_number 1
_symmetry_space_group_name_Hall 'P 1'
loop_
_atom_site_label
_atom_site_fract_x
_atom_site_fract_y
_atom_site_fract_z
_atom_site_occupancy
As1 0.0000 0.0000 0.7933 1
As2 0.5000 0.5000 0.2067 1
C1 0.5000 0.0000 0.1861 1
C2 0.0000 0.5000 0.8139 1

---

Stability verdict: one, ahead by 929 meV/atom

---

one.
# CdAsCSe2 (SCAN, PBEsol geometry)
# **Total moment**: 0.0 μB/f.u.
# **D(E_F)**: 2.9 states/eV/f.u.
data_CdAsCSe2
_cell_length_a 4.0885
_cell_length_b 4.6338
_cell_length_c 4.6338
_cell_angle_alpha 90.00
_cell_angle_beta 90.00
_cell_angle_gamma 90.00
_symmetry_space_group_name_H-M 'P 1'
_symmetry_Int_Tables_number 1
_symmetry_space_group_name_Hall 'P 1'
loop_
_atom_site_label
_atom_site_fract_x
_atom_site_fract_y
_atom_site_fract_z
_atom_site_occupancy
As1 0.5000 0.0000 0.0000 1
C1 0.0000 0.0000 0.0000 1
Se1 0.0000 0.0000 0.5000 1
Se2 0.0000 0.5000 0.0000 1
Cd1 0.5000 0.5000 0.5000 1

---

two.
# CdAsCSe2 (SCAN, PBEsol geometry)
# **Total moment**: 0.3 μB/f.u.
# **D(E_F)**: 4.7 states/eV/f.u.
data_CdAsCSe2
_cell_length_a 5.0960
_cell_length_b 5.0962
_cell_length_c 5.0962
_cell_angle_alpha 90.00
_cell_angle_beta 90.00
_cell_angle_gamma 90.00
_symmetry_space_group_name_H-M 'P 1'
_symmetry_Int_Tables_number 1
_symmetry_space_group_name_Hall 'P 1'
loop_
_atom_site_label
_atom_site_fract_x
_atom_site_fract_y
_atom_site_fract_z
_atom_site_occupancy
As1 0.5000 0.0000 0.0000 1
C1 0.5000 0.5000 0.5000 1
Se1 0.0000 0.0000 0.5000 1
Se2 0.0000 0.5000 0.0000 1
Cd1 0.0000 0.0000 0.0000 1

---

Stability verdict: one, ahead by 1084 meV/atom